(1)
DFT (PBEsol) results for a geometry-optimized BaMnPt structure.

CIF file:
```
data_BaMnPt
_cell_length_a 4.694
_cell_length_b 4.694
_cell_length_c 4.694
_cell_angle_alpha 60.00
_cell_angle_beta 60.00
_cell_angle_gamma 60.00
_symmetry_space_group_name_H-M 'P 1'
_symmetry_Int_Tables_number 1
loop_
_symmetry_equiv_pos_as_xyz
'x,y,z'
loop_
_atom_site_label
_atom_site_type_symbol
_atom_site_fract_x
_atom_site_fract_y
_atom_site_fract_z
_atom_site_occupancy
Ba1 Ba 0.000 0.000 0.000 1
Mn1 Mn 0.750 0.750 0.750 1
Pt1 Pt 0.500 0.500 0.500 1
```

Output
Crystal system: cubic
Space group: F-43m (216)
DFT formation energy, meV per atom: 430
M_tot, μB/f.u.: 4.178
Calculated volume, A^3/atom: 24.385



(2)
DFT (PBEsol) results for a geometry-optimized Ba2MnPt structure.

CIF file:
```
data_Ba2MnPt
_cell_length_a 4.377
_cell_length_b 6.449
_cell_length_c 6.449
_cell_angle_alpha 43.36
_cell_angle_beta 90.00
_cell_angle_gamma 90.00
_symmetry_space_group_name_H-M 'P 1'
_symmetry_Int_Tables_number 1
loop_
_symmetry_equiv_pos_as_xyz
'x,y,z'
loop_
_atom_site_label
_atom_site_type_symbol
_atom_site_fract_x
_atom_site_fract_y
_atom_site_fract_z
_atom_site_occupancy
Ba1 Ba 0.000 0.000 0.000 1
Ba2 Ba 0.500 0.287 0.287 1
Mn1 Mn 0.000 0.688 0.688 1
Pt1 Pt 0.500 0.585 0.585 1
```

Output
Crystal system: orthorhombic
Space group: Amm2 (38)
DFT formation energy, meV per atom: -40
M_tot, μB/f.u.: 3.670
Calculated volume, A^3/atom: 31.248



(3)
DFT (PBEsol) results for a geometry-optimized BaMnPt2S structure.

CIF file:
```
data_BaMnPt2S
_cell_length_a 5.183
_cell_length_b 5.183
_cell_length_c 5.588
_cell_angle_alpha 90.00
_cell_angle_beta 90.00
_cell_angle_gamma 90.00
_symmetry_space_group_name_H-M 'P 1'
_symmetry_Int_Tables_number 1
loop_
_symmetry_equiv_pos_as_xyz
'x,y,z'
loop_
_atom_site_label
_atom_site_type_symbol
_atom_site_fract_x
_atom_site_fract_y
_atom_site_fract_z
_atom_site_occupancy
Ba1 Ba 0.000 0.000 0.000 1
Mn1 Mn 0.500 0.500 0.500 1
Pt1 Pt 0.000 0.500 0.000 1
Pt2 Pt 0.500 0.000 0.000 1
S1 S 0.000 0.000 0.500 1
```

Output
Crystal system: tetragonal
Energy relative to the elements, uncorrected, eV per formula unit: 8.2
Space group: P4/mmm (123)
M_tot, μB/f.u.: 4.700
Calculated volume, A^3/atom: 30.022



(4)
DFT (PBEsol) results for a geometry-optimized RbBa2MnSe structure.

CIF file:
```
data_RbBa2MnSe
_cell_length_a 6.235
_cell_length_b 6.235
_cell_length_c 6.322
_cell_angle_alpha 90.00
_cell_angle_beta 90.00
_cell_angle_gamma 90.00
_symmetry_space_group_name_H-M 'P 1'
_symmetry_Int_Tables_number 1
loop_
_symmetry_equiv_pos_as_xyz
'x,y,z'
loop_
_atom_site_label
_atom_site_type_symbol
_atom_site_fract_x
_atom_site_fract_y
_atom_site_fract_z
_atom_site_occupancy
Rb1 Rb 0.000 0.000 0.000 1
Ba1 Ba 0.000 0.500 0.500 1
Ba2 Ba 0.500 0.000 0.500 1
Mn1 Mn 0.500 0.500 0.000 1
Se1 Se 0.000 0.000 0.500 1
```

Output
Crystal system: tetragonal
Energy relative to the elements, uncorrected, eV per formula unit: -0.2
Space group: P4/mmm (123)
M_tot, μB/f.u.: 4.501
Calculated volume, A^3/atom: 49.160



(5)
DFT (PBEsol) results for a geometry-optimized RbBaMn2Tl structure.

CIF file:
```
data_RbBaMn2Tl
_cell_length_a 5.308
_cell_length_b 5.308
_cell_length_c 6.226
_cell_angle_alpha 90.00
_cell_angle_beta 90.00
_cell_angle_gamma 90.00
_symmetry_space_group_name_H-M 'P 1'
_symmetry_Int_Tables_number 1
loop_
_symmetry_equiv_pos_as_xyz
'x,y,z'
loop_
_atom_site_label
_atom_site_type_symbol
_atom_site_fract_x
_atom_site_fract_y
_atom_site_fract_z
_atom_site_occupancy
Rb1 Rb 0.000 0.000 0.000 1
Ba1 Ba 0.500 0.500 0.000 1
Mn1 Mn 0.000 0.500 0.500 1
Mn2 Mn 0.500 0.000 0.500 1
Tl1 Tl 0.000 0.000 0.500 1
```

Output
Crystal system: tetragonal
Space group: P4/mmm (123)
DFT formation energy, meV per atom: 950
M_tot, μB/f.u.: 8.091
Calculated volume, A^3/atom: 35.089



(6)
DFT (PBEsol) results for a geometry-optimized BaMn2Re structure.

CIF file:
```
data_BaMn2Re
_cell_length_a 3.560
_cell_length_b 3.585
_cell_length_c 6.707
_cell_angle_alpha 90.00
_cell_angle_beta 105.20
_cell_angle_gamma 90.00
_symmetry_space_group_name_H-M 'P 1'
_symmetry_Int_Tables_number 1
loop_
_symmetry_equiv_pos_as_xyz
'x,y,z'
loop_
_atom_site_label
_atom_site_type_symbol
_atom_site_fract_x
_atom_site_fract_y
_atom_site_fract_z
_atom_site_occupancy
Ba1 Ba 0.000 0.000 0.000 1
Mn1 Mn 0.660 0.500 0.324 1
Mn2 Mn 0.750 0.000 0.509 1
Re1 Re 0.276 0.500 0.559 1
```

Output
Crystal system: monoclinic
Space group: Pm (6)
DFT formation energy, meV per atom: 896
M_tot, μB/f.u.: 0.773
Calculated volume, A^3/atom: 20.652



Number 3 is which compound? BaMnPt2S